[1]
Below is an optimized crystal structure of NaCdSnAs2, with properties calculated at the PBE level.

Cell: 5.0688 7.4642 8.6086 Å, 98.00 90.00 109.85°
With the nearest neighbours (Å) after each atom.
Fractional coordinates of all 10 atoms:
As (0.1292, 0.2585, 0.9339)  2 Sn 2.77-2.84, 3 Cd 2.79-2.86
As (0.8708, 0.7415, 0.0661)  2 Sn 2.77-2.84, 3 Cd 2.79-2.86
Cd (0.6739, 0.3478, 0.0821)  4 As 2.66-2.86
Sn (0.9427, 0.8855, 0.7741)  4 As 2.75-2.84
Sn (0.0573, 0.1145, 0.2259)  4 As 2.75-2.84
As (0.5941, 0.1882, 0.3440)  1 Cd 2.66, 2 Sn 2.75, 1 Na 2.93
Na (0.3726, 0.7452, 0.3116)  2 As 2.93-3.08
Cd (0.3261, 0.6522, 0.9179)  4 As 2.66-2.86
Na (0.6274, 0.2548, 0.6884)  2 As 2.93-3.08
As (0.4059, 0.8118, 0.6560)  1 Cd 2.66, 2 Sn 2.75, 1 Na 2.93

Properties
Formation enthalpy at 0 K in meV per atom: -133
Space group: No. 12
Calculated total energy in eV per atom: -3.24

***

[2]
Below is an optimized crystal structure of NaSrCdAs, with properties calculated at the PBE level.

Cell: 5.3649 5.3649 5.3649 Å, 60.00 60.00 60.00°
With the nearest neighbours (Å) after each atom.
Fractional coordinates of all 4 atoms:
Na (0.7500, 0.7500, 0.7500)  4 Cd 3.29, 4 As 3.29
Sr (0.2500, 0.2500, 0.2500)  4 Cd 3.29, 4 As 3.29
As (0.5000, 0.5000, 0.5000)  4 Sr 3.29, 4 Na 3.29
Cd (0.0000, 0.0000, 0.0000)  4 Na 3.29, 4 Sr 3.29

Properties
Formation enthalpy at 0 K in meV per atom: -503
Space group: No. 216
Calculated total energy in eV per atom: -2.64

***

[3]
Below is an optimized crystal structure of Na2SrCdAs2, with properties calculated at the PBE level.

Cell: 4.5440 7.7272 8.7798 Å, 90.00 90.00 90.00°
With the nearest neighbours (Å) after each atom.
Fractional coordinates of all 12 atoms:
Na (0.5000, 0.5346, 0.9199)  5 As 3.22-3.45, 4 Na 3.42-3.47, 2 Cd 3.50-3.60
As (0.0000, 0.2437, 0.8486)  2 Cd 2.75, 2 Na 2.94-2.97
Cd (0.5000, 0.6453, 0.3062)  4 As 2.75-2.94
As (0.5000, 0.7761, 0.6203)  2 Cd 2.92-2.94, 3 Na 3.01-3.22, 4 Sr 3.23
Na (0.5000, 0.0346, 0.0801)  5 As 3.22-3.45, 4 Na 3.42-3.47, 2 Cd 3.50-3.60
Na (0.0000, 0.3599, 0.1676)  4 As 2.94-3.01
Na (0.0000, 0.8599, 0.8324)  4 As 2.94-3.01
As (0.5000, 0.2761, 0.3797)  2 Cd 2.92-2.94, 3 Na 3.01-3.22, 4 Sr 3.23
Sr (0.0000, 0.4860, 0.5648)  5 As 3.12-3.23, 2 Cd 3.44
Sr (0.0000, 0.9860, 0.4352)  5 As 3.12-3.23, 2 Cd 3.44
Cd (0.5000, 0.1453, 0.6938)  4 As 2.75-2.94
As (0.0000, 0.7437, 0.1514)  2 Cd 2.75, 2 Na 2.94-2.97

Properties
Formation enthalpy at 0 K in meV per atom: -673
Space group: No. 26
Calculated total energy in eV per atom: -3.10

***

[4]
Below is an optimized crystal structure of Na2CdTe4As, with properties calculated at the PBE level.

Cell: 8.7462 8.7462 9.1849 Å, 121.67 121.67 89.89°
With the nearest neighbours (Å) after each atom.
Fractional coordinates of all 16 atoms:
Te (0.7539, 0.7460, 0.9751)  2 As 2.93, 1 Cd 3.05, 3 Na 3.15-3.27
Te (0.2460, 0.2539, 0.4751)  2 As 2.93, 1 Cd 3.05, 3 Na 3.15-3.27
Na (0.5000, 0.0000, 0.0000)  6 Te 3.15
Na (0.5000, 0.5000, 0.0000)  6 Te 3.24-3.27
Te (0.2533, 0.7284, 0.4910)  1 As 2.94, 2 Cd 3.05, 3 Na 3.15-3.24
Te (0.7716, 0.2467, 0.0090)  1 As 2.94, 2 Cd 3.05, 3 Na 3.15-3.24
Te (0.2284, 0.7533, 0.9910)  1 As 2.94, 2 Cd 3.05, 3 Na 3.15-3.24
As (0.5000, 0.5000, 0.5000)  6 Te 2.93-2.94
Te (0.7540, 0.7461, 0.5249)  2 As 2.93, 1 Cd 3.05, 3 Na 3.15-3.27
Cd (0.0000, 0.5000, 0.5000)  6 Te 3.05
Te (0.2461, 0.2540, 0.0249)  2 As 2.93, 1 Cd 3.05, 3 Na 3.15-3.27
Na (0.5000, 0.0000, 0.5000)  6 Te 3.15
Na (0.0000, 0.0000, 0.5000)  6 Te 3.24-3.27
Te (0.7467, 0.2716, 0.5090)  1 As 2.94, 2 Cd 3.05, 3 Na 3.15-3.24
Cd (0.0000, 0.5000, 0.0000)  6 Te 3.05
As (0.0000, 0.0000, 0.0000)  6 Te 2.93-2.94

Properties
Energy relative to the elements, uncorrected in meV/atom: -359
Space group: No. 74
Calculated total energy in eV per atom: -2.96

***

[5]
Below is an optimized crystal structure of NaTlCdAs, with properties calculated at the PBE level.

Cell: 5.1718 5.1718 5.1718 Å, 60.00 60.00 60.00°
With the nearest neighbours (Å) after each atom.
Fractional coordinates of all 4 atoms:
Cd (0.2500, 0.2500, 0.2500)  4 Tl 3.17, 4 As 3.17
Tl (0.5000, 0.5000, 0.5000)  4 Na 3.17, 4 Cd 3.17
Na (0.7500, 0.7500, 0.7500)  4 As 3.17, 4 Tl 3.17
As (0.0000, 0.0000, 0.0000)  4 Cd 3.17, 4 Na 3.17

Properties
Formation enthalpy at 0 K in meV per atom: -90
Space group: No. 216
Calculated total energy in eV per atom: -2.40

***

[6]
Below is an optimized crystal structure of NaZn2CdAs, with properties calculated at the PBE level.

Cell: 5.1157 5.3491 5.1157 Å, 90.00 90.00 90.00°
With the nearest neighbours (Å) after each atom.
Fractional coordinates of all 5 atoms:
Zn (0.5000, 0.0000, 0.0000)  2 Cd 2.56
Zn (0.0000, 0.0000, 0.5000)  2 Cd 2.56
Cd (0.0000, 0.0000, 0.0000)  4 Zn 2.56, 2 As 2.67
Na (0.5000, 0.5000, 0.5000)  4 As 3.62, 8 Zn 3.70
As (0.0000, 0.5000, 0.0000)  2 Cd 2.67

Properties
Formation enthalpy at 0 K in meV per atom: 337
Space group: No. 123
Calculated total energy in eV per atom: -1.55

***

Please write out number 2 again, unchanged.
Below is an optimized crystal structure of NaSrCdAs, with properties calculated at the PBE level.

Cell: 5.3649 5.3649 5.3649 Å, 60.00 60.00 60.00°
With the nearest neighbours (Å) after each atom.
Fractional coordinates of all 4 atoms:
Na (0.7500, 0.7500, 0.7500)  4 Cd 3.29, 4 As 3.29
Sr (0.2500, 0.2500, 0.2500)  4 Cd 3.29, 4 As 3.29
As (0.5000, 0.5000, 0.5000)  4 Sr 3.29, 4 Na 3.29
Cd (0.0000, 0.0000, 0.0000)  4 Na 3.29, 4 Sr 3.29

Properties
Formation enthalpy at 0 K in meV per atom: -503
Space group: No. 216
Calculated total energy in eV per atom: -2.64

***

Q: Among the records above, which one has the lowest calculated total energy?
A: NaCdSnAs2